No. 1
A plane-wave DFT calculation with PBE-GGA was carried out for a relaxed Sm2HoScSb4 crystal.

Properties
raw total energy: -45.54 eV per cell
raw formation energy: -8.70 eV/f.u.
Fermi-level density of states: 1.21 states/eV/f.u.

a b c (Å): 7.5649 4.3781 7.5783
angles (deg): 90.00 109.51 90.00
Space group P2/m (No. 10)
Symmetry-distinct sites (fractional):
Sm1 0.0000 0.0000 0.0000
Sm2 0.0000 0.5000 0.5000
Ho1 0.5000 0.0000 0.5000
Sc1 0.5000 0.5000 0.0000
Sb1 0.2613 0.5000 0.2479
Sb2 0.2658 0.0000 0.7612



No. 2
A plane-wave DFT calculation with PBE-GGA was carried out for a relaxed Ba2PrSbO6 crystal.

Properties
raw total energy: -204.78 eV per cell
raw formation energy: -25.76 eV/f.u.
Fermi-level density of states: 0.00 states/eV/f.u.

a b c (Å): 6.1664 6.1664 14.9712
angles (deg): 90.00 90.00 120.00
Space group R-3 (No. 148, hexagonal axes)
Symmetry-distinct sites (fractional):
Ba1 0.0000 0.0000 0.2487
Pr1 0.0000 0.0000 0.5000
Sb1 0.0000 0.0000 0.0000
O1 0.0274 0.5577 0.7445



No. 3
A plane-wave DFT calculation with PBE-GGA was carried out for a relaxed Zn12CoAu6 crystal.

Properties
raw total energy: -132.02 eV per cell
calculated formation energy: -103 meV per atom
Fermi-level density of states: 3.98 states/eV/f.u.

a b c (Å): 10.1001 10.1001 10.5850
angles (deg): 90.00 90.00 120.00
Space group R-3 (No. 148, hexagonal axes)
Symmetry-distinct sites (fractional):
Zn1 0.0895 0.9099 0.3167
Zn2 0.0986 0.1979 0.8927
Co1 0.0000 0.0000 0.5000
Au1 0.0181 0.5097 0.2220



No. 4
A plane-wave DFT calculation with PBE-GGA was carried out for a relaxed ThHF crystal.

Properties
raw total energy: -35.23 eV per cell
offset from the most stable computed form: 0 meV per atom
Fermi-level density of states: 1.68 states/eV/f.u.

a b c (Å): 4.1179 4.1179 6.6789
angles (deg): 90.00 90.00 120.00
Space group P6_3mc (No. 186)
Symmetry-distinct sites (fractional):
Th1 0.3333 0.6667 0.0000
H1 0.3333 0.6667 0.6208
F1 0.0000 0.0000 0.0034



No. 5
A plane-wave DFT calculation with PBE-GGA was carried out for a relaxed Cd2InPtCl crystal.

Properties
raw total energy: -14.27 eV per cell
raw formation energy: -1.82 eV/f.u.
Fermi-level density of states: 1.57 states/eV/f.u.

a b c (Å): 5.2658 5.2658 5.2020
angles (deg): 90.00 90.00 90.00
Space group P4/mmm (No. 123)
Symmetry-distinct sites (fractional):
Cd1 0.0000 0.5000 0.0000
In1 0.0000 0.0000 0.5000
Pt1 0.0000 0.0000 0.0000
Cl1 0.5000 0.5000 0.5000



No. 6
A plane-wave DFT calculation with PBE-GGA was carried out for a relaxed Tb2BeRh crystal.

Properties
raw total energy: -87.01 eV per cell
offset from the most stable computed form: 6 meV per atom
calculated formation energy: -353 meV per atom
Fermi-level density of states: 2.00 states/eV/f.u.

a b c (Å): 6.8887 6.8887 6.8887
angles (deg): 90.00 90.00 90.00
Space group Fm-3m (No. 225)
Symmetry-distinct sites (fractional):
Tb1 0.2500 0.2500 0.2500
Be1 0.0000 0.0000 0.0000
Rh1 0.0000 0.0000 0.5000



No. 7
A plane-wave DFT calculation with PBE-GGA was carried out for a relaxed NdAgHgF6 crystal.

Properties
raw total energy: -82.39 eV per cell
raw formation energy: -22.05 eV/f.u.

a b c (Å): 5.4363 5.4363 11.2917
angles (deg): 90.00 90.00 90.00
Space group P4_2nm (No. 102)
Symmetry-distinct sites (fractional):
Nd1 0.0000 0.0000 0.0000
Ag1 0.0000 0.0000 0.3333
Hg1 0.0000 0.0000 0.6675
F1 0.1848 0.1848 0.8377
F2 0.2014 0.2014 0.1509
F3 0.2023 0.2023 0.5098



No. 8
A plane-wave DFT calculation with PBE-GGA was carried out for a relaxed Mg2OsCl crystal.

Properties
raw total energy: -17.12 eV per cell
offset from the most stable computed form: 86 meV per atom
raw formation energy: -0.86 eV/f.u.
Fermi-level density of states: 3.64 states/eV/f.u.

a b c (Å): 3.0761 3.0761 7.4805
angles (deg): 90.00 90.00 90.00
Space group P4/mmm (No. 123)
Symmetry-distinct sites (fractional):
Mg1 0.0000 0.0000 0.2253
Os1 0.5000 0.5000 0.0000
Cl1 0.5000 0.5000 0.5000



No. 9
A plane-wave DFT calculation with PBE-GGA was carried out for a relaxed Cs2Mg12Tl7 crystal.

Properties
raw total energy: -37.53 eV per cell
calculated formation energy: -6 meV per atom
Fermi-level density of states: 10.42 states/eV/f.u.

a b c (Å): 12.0090 12.0090 4.8252
angles (deg): 90.00 90.00 120.00
Space group P-3 (No. 147)
Symmetry-distinct sites (fractional):
Cs1 0.3333 0.6667 0.2532
Mg1 0.0477 0.6191 0.7471
Mg2 0.1229 0.8611 0.2667
Tl1 0.0000 0.0000 0.0000
Tl2 0.1123 0.3994 0.7580



No. 10
A plane-wave DFT calculation with PBE-GGA was carried out for a relaxed Pm3Dy4Y3 crystal.

Properties
raw total energy: -102.46 eV per cell
calculated formation energy: 82 meV per atom
Fermi-level density of states: 8.06 states/eV/f.u.

a b c (Å): 3.7063 13.3218 13.3821
angles (deg): 90.00 90.00 90.00
Space group Amm2 (No. 38)
Symmetry-distinct sites (fractional):
Pm1 0.0000 0.0000 0.0000
Pm2 0.0000 0.1731 0.6724
Dy1 0.5000 0.0000 0.5467
Dy2 0.5000 0.0000 0.7991
Dy3 0.5000 0.1257 0.1733
Y1 0.0000 0.0000 0.3459
Y2 0.5000 0.2471 0.4214



No. 11
A plane-wave DFT calculation with PBE-GGA was carried out for a relaxed LiTaCrSe2 crystal.

Properties
raw total energy: -27.51 eV per cell
raw formation energy: 2.85 eV/f.u.
Fermi-level density of states: 4.65 states/eV/f.u.

a b c (Å): 4.8450 4.8450 4.5586
angles (deg): 90.00 90.00 90.00
Space group P4/mmm (No. 123)
Symmetry-distinct sites (fractional):
Li1 0.0000 0.0000 0.0000
Ta1 0.5000 0.5000 0.0000
Cr1 0.5000 0.5000 0.5000
Se1 0.0000 0.5000 0.5000



No. 12
A plane-wave DFT calculation with PBE-GGA was carried out for a relaxed Rb4I2BrCl crystal.

Properties
raw total energy: -23.78 eV per cell
raw formation energy: -13.29 eV/f.u.
Fermi-level density of states: 0.00 states/eV/f.u.

a b c (Å): 8.7523 5.0436 8.8483
angles (deg): 90.00 109.19 90.00
Space group P2/m (No. 10)
Symmetry-distinct sites (fractional):
Rb1 0.2369 0.0000 0.2264
Rb2 0.2510 0.5000 0.7702
I1 0.0000 0.0000 0.5000
I2 0.5000 0.5000 0.5000
Br1 0.5000 0.0000 0.0000
Cl1 0.0000 0.5000 0.0000



| no. | magnetization (μB per atom) |
| --- | --- |
| 1 | 0.000 |
| 2 | 0.000 |
| 3 | 0.000 |
| 4 | 0.000 |
| 5 | 0.000 |
| 6 | 0.000 |
| 7 | 0.006 |
| 8 | 0.052 |
| 9 | 0.000 |
| 10 | 0.000 |
| 11 | 0.330 |
| 12 | 0.000 |